Below is a relaxed structure of TiCrTe2N, with properties calculated at the PBE-GGA level.

Values from the calculation:
ΔE to the lowest computed polymorph	0	meV/atom
uncorrected energy	-6.3013	eV per atom
symmetry	P4/mmm, No. 123

a = 5.350 Å, b = 5.350 Å, c = 3.552 Å
α = 90.00°, β = 90.00°, γ = 90.00°
Last column: magnetic moment on the atom in μB.
Atoms (fractional coordinates):
Cr 0.000 0.000 0.000  1.77
N 0.000 0.000 0.500  -0.24
Te 0.000 0.500 0.000  -0.12
Te 0.500 0.000 0.000  -0.12
Ti 0.500 0.500 0.500  1.49